Pm2In3Pt: optimized geometry, PBE.

Properties
**Energy above the most stable polymorph in this dataset**: 0.000 eV per atom
**Size of the total moment**: 0.00 Bohr magnetons per cell

Cell: 3.744 4.857 8.405 Å, 90.00 90.00 90.00°
Element x y z (fractional)
Pm 0.000 0.000 0.000
Pm 0.000 0.500 0.443
In 0.500 0.000 0.619
In 0.500 0.500 0.137
In 0.500 0.500 0.797
Pt 0.500 0.000 0.293

Pm3InPt: optimized geometry, PBE.

Properties
**Size of the total moment**: 1.51 Bohr magnetons per cell

Cell: 7.427 7.427 7.427 Å, 90.00 90.00 90.00°
Element x y z (fractional)
Pm 0.000 0.000 0.000
Pm 0.269 0.269 0.269
Pm 0.269 0.269 0.731
Pm 0.269 0.731 0.269
Pm 0.269 0.731 0.731
Pm 0.731 0.269 0.269
Pm 0.731 0.269 0.731
Pm 0.731 0.731 0.269
Pm 0.731 0.731 0.731
In 0.000 0.000 0.500
In 0.000 0.500 0.000
In 0.500 0.000 0.000
Pt 0.000 0.500 0.500
Pt 0.500 0.000 0.500
Pt 0.500 0.500 0.000

PmIn2Pt9: optimized geometry, PBE.

Properties
**Size of the total moment**: 0.00 Bohr magnetons per cell

Cell: 9.237 9.237 9.237 Å, 34.23 34.23 34.23°
Element x y z (fractional)
Pm 0.000 0.000 0.000
In 0.141 0.141 0.141
In 0.859 0.859 0.859
Pt 0.081 0.588 0.588
Pt 0.333 0.333 0.333
Pt 0.412 0.412 0.919
Pt 0.412 0.919 0.412
Pt 0.500 0.500 0.500
Pt 0.588 0.081 0.588
Pt 0.588 0.588 0.081
Pt 0.667 0.667 0.667
Pt 0.919 0.412 0.412

Pm2In5Pt4: optimized geometry, PBE.

Properties
**Size of the total moment**: 0.00 Bohr magnetons per cell

Cell: 9.624 7.750 7.047 Å, 81.00 52.69 46.32°
Element x y z (fractional)
Pm 0.166 0.166 0.834
Pm 0.834 0.834 0.166
In 0.000 0.000 0.500
In 0.250 0.250 0.250
In 0.500 0.500 0.000
In 0.500 0.500 0.500
In 0.750 0.750 0.750
Pt 0.237 0.458 0.542
Pt 0.458 0.237 0.763
Pt 0.542 0.763 0.237
Pt 0.763 0.542 0.458

Number 1: formation enthalpy at 0 K -650.5 meV/atom, DOS at the Fermi energy 4.42 states/eV/cell, uncorrected energy -27.7 eV per formula unit. Number 2: formation enthalpy at 0 K -555.2 meV/atom, DOS at the Fermi energy 15.73 states/eV/cell, uncorrected energy -25.8 eV per formula unit. Number 3: formation enthalpy at 0 K -487.1 meV/atom, DOS at the Fermi energy 9.62 states/eV/cell, uncorrected energy -70.4 eV per formula unit. Number 4: formation enthalpy at 0 K -574.7 meV/atom, DOS at the Fermi energy 6.30 states/eV/cell, uncorrected energy -53.7 eV per formula unit.